1.
VASP calculation (PBE) on Er2TmPb after structural relaxation.

Output
- ΔE_f: -0.16 eV per atom
- Polymorph energy (0 for the lowest one): 34 kJ/mol of formula units

Cell lengths 3.5323, 3.5333, 11.1470 Å; angles 80.91, 80.91, 59.99 degrees
Closest atoms and distances in Å follow each position.
Atoms (fractional coordinates):
Er  0.1332  0.5796  0.4961  3 Tm 3.46-3.47, 9 Er 3.50-3.53
Er  0.5528  0.9990  0.2369  3 Pb 3.35-3.36, 9 Er 3.50-3.53
Tm  0.7158  0.1606  0.7515  3 Pb 3.35, 3 Er 3.46-3.47, 6 Tm 3.53
Pb  0.3026  0.7454  0.9940  3 Tm 3.35, 3 Er 3.35-3.36, 6 Pb 3.53



2.
VASP calculation (PBE) on La2Er5TmSc after structural relaxation.

Output
- ΔE_f: 0.15 eV per atom

Cell lengths 5.5432, 10.3282, 10.3899 Å; angles 90.00, 90.00, 105.57 degrees
Closest atoms and distances in Å follow each position.
Atoms (fractional coordinates):
Tm  0.4080  0.8160  0.4620  6 Er 3.03-3.31
Tm  0.5920  0.1840  0.9620  6 Er 3.03-3.31
La  0.1137  0.2274  0.3145  8 Er 3.22-3.50, 1 Sc 3.53
La  0.1158  0.2317  0.7350  1 Sc 3.32, 7 Er 3.45-3.64, 2 Tm 3.67
La  0.8863  0.7726  0.8145  8 Er 3.22-3.50, 1 Sc 3.53
La  0.8842  0.7683  0.2350  1 Sc 3.32, 7 Er 3.45-3.64, 2 Tm 3.67
Er  0.9844  0.9688  0.5184  2 Tm 3.21, 3 La 3.33-3.56
Er  0.4836  0.9672  0.7407  2 Tm 3.15-3.26, 2 La 3.47
Er  0.3754  0.7509  0.0192  4 La 3.50-3.57, 1 Sc 3.55, 4 Er 3.61-3.70
Er  0.5164  0.0328  0.2407  2 Tm 3.15-3.26, 2 La 3.47
Er  0.2754  0.5507  0.3191  1 Tm 3.03, 1 La 3.22, 2 Er 3.36
Er  0.7020  0.4040  0.2010  1 Tm 3.31, 3 Er 3.36-3.65, 2 Sc 3.39, 3 La 3.49-3.64
Er  0.7246  0.4493  0.8191  1 Tm 3.03, 1 La 3.22, 2 Er 3.36
Er  0.0156  0.0312  0.0184  2 Tm 3.21, 3 La 3.33-3.56
Er  0.2980  0.5960  0.7010  1 Tm 3.31, 3 Er 3.36-3.65, 2 Sc 3.39, 3 La 3.49-3.64
Er  0.6246  0.2491  0.5192  4 La 3.50-3.57, 1 Sc 3.55, 4 Er 3.61-3.70
Sc  0.8029  0.6058  0.5141  2 La 3.32-3.53, 7 Er 3.39-3.61, 2 Tm 3.51
Sc  0.1971  0.3942  0.0141  2 La 3.32-3.53, 7 Er 3.39-3.61, 2 Tm 3.51



3.
VASP calculation (PBE) on Tb3Nd3TlHg2 after structural relaxation.

Output
- ΔE_f: -0.24 eV per atom

Cell lengths 3.8650, 8.9645, 8.9645 Å; angles 120.00, 90.00, 90.00 degrees
Closest atoms and distances in Å follow each position.
Atoms (fractional coordinates):
Nd  0.5000  0.0000  0.7102  2 Hg 3.20, 2 Tl 3.24, 2 Tb 3.50
Nd  0.5000  0.7102  0.0000  2 Hg 3.20, 2 Tl 3.24, 2 Tb 3.50
Nd  0.5000  0.2898  0.2898  2 Hg 3.20, 2 Tl 3.24, 2 Tb 3.50
Tl  0.0000  0.0000  0.0000  6 Nd 3.24, 3 Tb 3.44
Hg  0.5000  0.6667  0.3333  3 Nd 3.20, 6 Tb 3.39
Hg  0.5000  0.3333  0.6667  3 Nd 3.20, 6 Tb 3.39
Tb  0.0000  0.6159  0.6159  4 Hg 3.39, 1 Tl 3.44, 6 Nd 3.50-3.66
Tb  0.0000  0.3841  0.0000  4 Hg 3.39, 1 Tl 3.44, 6 Nd 3.50-3.66
Tb  0.0000  0.0000  0.3841  4 Hg 3.39, 1 Tl 3.44, 6 Nd 3.50-3.66



4.
VASP calculation (PBE) on NaHgI after structural relaxation.

Output
- Formation energy from raw total energies: -704 meV per atom
- Polymorph energy (0 for the lowest one): 21 kJ/mol of formula units

Cell lengths 5.4291, 5.4291, 5.4291 Å; angles 60.00, 60.00, 60.00 degrees
Closest atoms and distances in Å follow each position.
Atoms (fractional coordinates):
Na  0.2500  0.2500  0.2500  4 Hg 3.32, 4 I 3.32
Hg  0.0000  0.0000  0.0000  4 Na 3.32
I  0.5000  0.5000  0.5000  4 Na 3.32



5.
VASP calculation (PBE) on Ba2Pt2Br after structural relaxation.

Output
- Formation energy from raw total energies: -816 meV per atom
- Polymorph energy (0 for the lowest one): 9 kJ/mol of formula units

Cell lengths 6.0303, 6.0303, 6.1411 Å; angles 60.60, 60.60, 90.00 degrees
Closest atoms and distances in Å follow each position.
Atoms (fractional coordinates):
Ba  0.7500  0.2500  0.5000  4 Pt 3.15
Ba  0.2500  0.7500  0.5000  4 Pt 3.15
Pt  0.6457  0.6457  0.7086  1 Pt 2.58
Pt  0.3543  0.3543  0.2914  1 Pt 2.58
Br  0.0000  0.0000  0.0000  2 Pt 3.13



6.
VASP calculation (PBE) on MoOsRh after structural relaxation.

Output
- ΔE_f: 0.28 eV per atom
- Polymorph energy (0 for the lowest one): 118 kJ/mol of formula units

Cell lengths 4.8226, 4.8226, 4.8226 Å; angles 140.29, 140.29, 57.41 degrees
Closest atoms and distances in Å follow each position.
Atoms (fractional coordinates):
Rh  0.6632  0.6632  0.0000  5 Mo 2.72-2.81, 5 Os 2.72-2.76
Os  0.3412  0.3412  0.0000  5 Mo 2.66-2.92, 5 Rh 2.72-2.76
Mo  0.9956  0.9956  0.0000  5 Os 2.66-2.92, 5 Rh 2.72-2.81



Number 1: N(E_F) 1.017 states/eV per atom. Number 2: N(E_F) 1.261 states/eV per atom. Number 3: N(E_F) 1.358 states/eV per atom. Number 4: N(E_F) 0.000 states/eV per atom. Number 5: N(E_F) 0.504 states/eV per atom. Number 6: N(E_F) 1.565 states/eV per atom.